Entry 1:
Below is a geometry-optimized BeRe2Pd structure, with properties calculated at the GGA-PBE level.

abc: 6.0375 6.0375 6.0375
angles: 90.00 90.00 90.00
Fractional positions:
1 Be 0.0000 0.0000 0.0000
2 Be 0.0000 0.5000 0.5000
3 Be 0.5000 0.0000 0.5000
4 Be 0.5000 0.5000 0.0000
5 Re 0.0000 0.0000 0.5000
6 Re 0.0000 0.5000 0.0000
7 Re 0.2500 0.2500 0.7500
8 Re 0.2500 0.7500 0.2500
9 Re 0.5000 0.0000 0.0000
10 Re 0.5000 0.5000 0.5000
11 Re 0.7500 0.2500 0.2500
12 Re 0.7500 0.7500 0.7500
13 Pd 0.2500 0.2500 0.2500
14 Pd 0.2500 0.7500 0.7500
15 Pd 0.7500 0.2500 0.7500
16 Pd 0.7500 0.7500 0.2500

Calculated values
Calculated volume: 55.0 Å³/f.u.
Electronic total energy: -0.605 Ry per atom
Size of the total moment: 0.13 μB/cell

---

Entry 2:
Below is a geometry-optimized ScBePd2 structure, with properties calculated at the GGA-PBE level.

abc: 6.2347 6.2347 6.2347
angles: 90.00 90.00 90.00
Fractional positions:
1 Sc 0.0000 0.0000 0.0000
2 Sc 0.0000 0.5000 0.5000
3 Sc 0.5000 0.0000 0.5000
4 Sc 0.5000 0.5000 0.0000
5 Be 0.2500 0.2500 0.2500
6 Be 0.2500 0.7500 0.7500
7 Be 0.7500 0.2500 0.7500
8 Be 0.7500 0.7500 0.2500
9 Pd 0.0000 0.0000 0.5000
10 Pd 0.0000 0.5000 0.0000
11 Pd 0.2500 0.2500 0.7500
12 Pd 0.2500 0.7500 0.2500
13 Pd 0.5000 0.0000 0.0000
14 Pd 0.5000 0.5000 0.5000
15 Pd 0.7500 0.2500 0.2500
16 Pd 0.7500 0.7500 0.7500

Calculated values
Calculated volume: 60.6 Å³/f.u.
Electronic total energy: -0.404 Ry per atom
Size of the total moment: 0.03 μB/cell

---

Entry 3:
Below is a geometry-optimized Sc2BePd structure, with properties calculated at the GGA-PBE level.

abc: 6.3211 6.3211 6.3211
angles: 90.00 90.00 90.00
Fractional positions:
1 Sc 0.0000 0.0000 0.0000
2 Sc 0.0000 0.5000 0.5000
3 Sc 0.2500 0.2500 0.2500
4 Sc 0.2500 0.7500 0.7500
5 Sc 0.5000 0.0000 0.5000
6 Sc 0.5000 0.5000 0.0000
7 Sc 0.7500 0.2500 0.7500
8 Sc 0.7500 0.7500 0.2500
9 Be 0.0000 0.0000 0.5000
10 Be 0.0000 0.5000 0.0000
11 Be 0.5000 0.0000 0.0000
12 Be 0.5000 0.5000 0.5000
13 Pd 0.2500 0.2500 0.7500
14 Pd 0.2500 0.7500 0.2500
15 Pd 0.7500 0.2500 0.2500
16 Pd 0.7500 0.7500 0.7500

Calculated values
Calculated volume: 63.1 Å³/f.u.
Electronic total energy: -0.420 Ry per atom
Size of the total moment: 0.00 μB/cell

---

Entry 4:
Below is a geometry-optimized ScBeTlPd structure, with properties calculated at the GGA-PBE level.

abc: 6.4911 6.4911 6.4911
angles: 90.00 90.00 90.00
Fractional positions:
1 Sc 0.0000 0.0000 0.0000
2 Sc 0.0000 0.5000 0.5000
3 Sc 0.5000 0.0000 0.5000
4 Sc 0.5000 0.5000 0.0000
5 Be 0.2500 0.2500 0.2500
6 Be 0.2500 0.7500 0.7500
7 Be 0.7500 0.2500 0.7500
8 Be 0.7500 0.7500 0.2500
9 Tl 0.0000 0.0000 0.5000
10 Tl 0.0000 0.5000 0.0000
11 Tl 0.5000 0.0000 0.0000
12 Tl 0.5000 0.5000 0.5000
13 Pd 0.2500 0.2500 0.7500
14 Pd 0.2500 0.7500 0.2500
15 Pd 0.7500 0.2500 0.2500
16 Pd 0.7500 0.7500 0.7500

Calculated values
Calculated volume: 68.4 Å³/f.u.
Electronic total energy: -0.337 Ry per atom
Size of the total moment: 0.00 μB/cell
Offset from the most stable computed form: 0 meV per atom

---

Entry 5:
Below is a geometry-optimized ScBeTlPd structure, with properties calculated at the GGA-PBE level.

abc: 6.5139 6.5139 6.5139
angles: 90.00 90.00 90.00
Fractional positions:
1 Sc 0.0000 0.0000 0.0000
2 Sc 0.0000 0.5000 0.5000
3 Sc 0.5000 0.0000 0.5000
4 Sc 0.5000 0.5000 0.0000
5 Be 0.0000 0.0000 0.5000
6 Be 0.0000 0.5000 0.0000
7 Be 0.5000 0.0000 0.0000
8 Be 0.5000 0.5000 0.5000
9 Tl 0.2500 0.2500 0.7500
10 Tl 0.2500 0.7500 0.2500
11 Tl 0.7500 0.2500 0.2500
12 Tl 0.7500 0.7500 0.7500
13 Pd 0.2500 0.2500 0.2500
14 Pd 0.2500 0.7500 0.7500
15 Pd 0.7500 0.2500 0.7500
16 Pd 0.7500 0.7500 0.2500

Calculated values
Calculated volume: 69.1 Å³/f.u.
Electronic total energy: -0.336 Ry per atom
Size of the total moment: 0.01 μB/cell
Offset from the most stable computed form: 19 meV per atom

---

Entry 6:
Below is a geometry-optimized ScBeTlPd structure, with properties calculated at the GGA-PBE level.

abc: 6.4934 6.4934 6.4934
angles: 90.00 90.00 90.00
Fractional positions:
1 Sc 0.0000 0.0000 0.0000
2 Sc 0.0000 0.5000 0.5000
3 Sc 0.5000 0.0000 0.5000
4 Sc 0.5000 0.5000 0.0000
5 Be 0.2500 0.2500 0.2500
6 Be 0.2500 0.7500 0.7500
7 Be 0.7500 0.2500 0.7500
8 Be 0.7500 0.7500 0.2500
9 Tl 0.2500 0.2500 0.7500
10 Tl 0.2500 0.7500 0.2500
11 Tl 0.7500 0.2500 0.2500
12 Tl 0.7500 0.7500 0.7500
13 Pd 0.0000 0.0000 0.5000
14 Pd 0.0000 0.5000 0.0000
15 Pd 0.5000 0.0000 0.0000
16 Pd 0.5000 0.5000 0.5000

Calculated values
Calculated volume: 68.4 Å³/f.u.
Electronic total energy: -0.334 Ry per atom
Size of the total moment: 0.00 μB/cell
Offset from the most stable computed form: 43 meV per atom

---

Entry 7:
Below is a geometry-optimized YScBePd structure, with properties calculated at the GGA-PBE level.

abc: 6.7445 6.7445 6.7445
angles: 90.00 90.00 90.00
Fractional positions:
1 Y 0.0000 0.0000 0.0000
2 Y 0.0000 0.5000 0.5000
3 Y 0.5000 0.0000 0.5000
4 Y 0.5000 0.5000 0.0000
5 Sc 0.0000 0.0000 0.5000
6 Sc 0.0000 0.5000 0.0000
7 Sc 0.5000 0.0000 0.0000
8 Sc 0.5000 0.5000 0.5000
9 Be 0.2500 0.2500 0.7500
10 Be 0.2500 0.7500 0.2500
11 Be 0.7500 0.2500 0.2500
12 Be 0.7500 0.7500 0.7500
13 Pd 0.2500 0.2500 0.2500
14 Pd 0.2500 0.7500 0.7500
15 Pd 0.7500 0.2500 0.7500
16 Pd 0.7500 0.7500 0.2500

Calculated values
Calculated volume: 76.7 Å³/f.u.
Electronic total energy: -0.426 Ry per atom
Size of the total moment: 0.00 μB/cell
Offset from the most stable computed form: 0 meV per atom

---

Entry 8:
Below is a geometry-optimized YScBePd structure, with properties calculated at the GGA-PBE level.

abc: 6.5649 6.5649 6.5649
angles: 90.00 90.00 90.00
Fractional positions:
1 Y 0.0000 0.0000 0.0000
2 Y 0.0000 0.5000 0.5000
3 Y 0.5000 0.0000 0.5000
4 Y 0.5000 0.5000 0.0000
5 Sc 0.2500 0.2500 0.2500
6 Sc 0.2500 0.7500 0.7500
7 Sc 0.7500 0.2500 0.7500
8 Sc 0.7500 0.7500 0.2500
9 Be 0.0000 0.0000 0.5000
10 Be 0.0000 0.5000 0.0000
11 Be 0.5000 0.0000 0.0000
12 Be 0.5000 0.5000 0.5000
13 Pd 0.2500 0.2500 0.7500
14 Pd 0.2500 0.7500 0.2500
15 Pd 0.7500 0.2500 0.2500
16 Pd 0.7500 0.7500 0.7500

Calculated values
Calculated volume: 70.7 Å³/f.u.
Electronic total energy: -0.413 Ry per atom
Size of the total moment: 0.01 μB/cell
Offset from the most stable computed form: 176 meV per atom

---

Entry 9:
Below is a geometry-optimized YScBePd structure, with properties calculated at the GGA-PBE level.

abc: 6.5291 6.5291 6.5291
angles: 90.00 90.00 90.00
Fractional positions:
1 Y 0.0000 0.0000 0.0000
2 Y 0.0000 0.5000 0.5000
3 Y 0.5000 0.0000 0.5000
4 Y 0.5000 0.5000 0.0000
5 Sc 0.2500 0.2500 0.2500
6 Sc 0.2500 0.7500 0.7500
7 Sc 0.7500 0.2500 0.7500
8 Sc 0.7500 0.7500 0.2500
9 Be 0.2500 0.2500 0.7500
10 Be 0.2500 0.7500 0.2500
11 Be 0.7500 0.2500 0.2500
12 Be 0.7500 0.7500 0.7500
13 Pd 0.0000 0.0000 0.5000
14 Pd 0.0000 0.5000 0.0000
15 Pd 0.5000 0.0000 0.0000
16 Pd 0.5000 0.5000 0.5000

Calculated values
Calculated volume: 69.6 Å³/f.u.
Electronic total energy: -0.415 Ry per atom
Size of the total moment: 0.00 μB/cell
Offset from the most stable computed form: 157 meV per atom

---

Entry 10:
Below is a geometry-optimized Be2Si2Pd3 structure, with properties calculated at the GGA-PBE level.

abc: 6.9468 6.9468 6.9468
angles: 33.82 33.82 33.82
Fractional positions:
1 Be 0.0000 0.0000 0.0000
2 Be 0.4713 0.4713 0.4713
3 Si 0.2158 0.2158 0.2158
4 Si 0.7324 0.7324 0.7324
5 Pd 0.3523 0.3523 0.3523
6 Pd 0.6025 0.6025 0.6025
7 Pd 0.8521 0.8521 0.8521

Calculated values
Calculated volume: 92.6 Å³/f.u.
Electronic total energy: -0.384 Ry per atom

---

Entry 11:
Below is a geometry-optimized BeSiPd structure, with properties calculated at the GGA-PBE level.

abc: 5.4124 5.4124 5.4124
angles: 90.00 90.00 90.00
Fractional positions:
1 Be 0.0000 0.0000 0.0000
2 Be 0.0000 0.5000 0.5000
3 Be 0.5000 0.0000 0.5000
4 Be 0.5000 0.5000 0.0000
5 Si 0.2500 0.2500 0.2500
6 Si 0.2500 0.7500 0.7500
7 Si 0.7500 0.2500 0.7500
8 Si 0.7500 0.7500 0.2500
9 Pd 0.2500 0.2500 0.7500
10 Pd 0.2500 0.7500 0.2500
11 Pd 0.7500 0.2500 0.2500
12 Pd 0.7500 0.7500 0.7500

Calculated values
Calculated volume: 39.6 Å³/f.u.
Electronic total energy: -0.366 Ry per atom
Offset from the most stable computed form: 0 meV per atom

---

Entry 12:
Below is a geometry-optimized BeSiPd2 structure, with properties calculated at the GGA-PBE level.

abc: 5.9690 5.9690 5.9690
angles: 90.00 90.00 90.00
Fractional positions:
1 Be 0.0000 0.0000 0.0000
2 Be 0.0000 0.5000 0.5000
3 Be 0.5000 0.0000 0.5000
4 Be 0.5000 0.5000 0.0000
5 Si 0.2500 0.2500 0.7500
6 Si 0.2500 0.7500 0.2500
7 Si 0.7500 0.2500 0.2500
8 Si 0.7500 0.7500 0.7500
9 Pd 0.0000 0.0000 0.5000
10 Pd 0.0000 0.5000 0.0000
11 Pd 0.2500 0.2500 0.2500
12 Pd 0.2500 0.7500 0.7500
13 Pd 0.5000 0.0000 0.0000
14 Pd 0.5000 0.5000 0.5000
15 Pd 0.7500 0.2500 0.7500
16 Pd 0.7500 0.7500 0.2500

Calculated values
Calculated volume: 53.2 Å³/f.u.
Electronic total energy: -0.368 Ry per atom